Computed, not measured: crystalline Be2Re3 at its relaxed geometry at the PBE level of DFT.

Structure (POSCAR):
```
Be2Re3
1.0
0.000 4.277 6.305
2.343 0.000 6.305
2.343 4.277 0.000
Be Re
4 6
Cartesian
1.640 6.416 6.981
1.640 2.138 5.629
2.811 4.278 2.477
2.811 4.277 10.134
2.812 4.278 7.720
2.812 4.277 4.890
3.983 6.416 8.043
3.983 6.416 10.873
0.469 4.277 6.305
1.640 2.139 3.153
```

Output
Its space group is No. 70. The calculation puts the total magnetization at 0.0 μB per formula unit. As for the formation energy: 0.1612 eV per atom. Its volume is 126.4 Å³/cell.